No. 1
## K6Nb11O30 (SCAN)

Data for a crystal of K6Nb11O30 relaxed with PBEsol.

The structure in POSCAR format:
```
K6Nb11O30
1.0
3.9308 0.0000 0.0000
0.0000 9.1221 9.1325
0.0000 -9.1221 9.1325
K Nb O
6 11 30
Cartesian
0.0000 0.0000 0.0000 K
0.0000 -4.7185 7.4584 K
0.0000 0.0000 5.9191 K
0.0000 -3.2804 12.5222 K
0.0000 4.7185 7.4584 K
0.0000 3.2804 12.5222 K
0.0000 0.0000 9.7814 Nb
1.9654 -3.4082 4.8505 Nb
1.9654 0.0000 3.1311 Nb
1.9654 -5.9456 10.2273 Nb
1.9654 -2.2072 8.6578 Nb
1.9654 3.4082 4.8505 Nb
1.9654 2.2072 8.6578 Nb
1.9654 0.0000 12.3063 Nb
1.9654 -1.9404 15.5379 Nb
1.9654 5.9456 10.2273 Nb
1.9654 1.9404 15.5379 Nb
0.0000 -3.3922 4.9505 O
0.0000 0.0000 2.9504 O
0.0000 -5.6940 10.0498 O
0.0000 -1.7149 8.7612 O
0.0000 3.3922 4.9505 O
0.0000 1.7149 8.7612 O
0.0000 0.0000 11.7812 O
0.0000 -1.9787 15.3409 O
0.0000 5.6940 10.0498 O
0.0000 1.9787 15.3409 O
1.9654 -1.3848 1.5348 O
1.9654 -5.2369 5.5672 O
1.9654 -6.5113 8.1701 O
1.9654 1.3848 1.5348 O
1.9654 -1.4162 4.4215 O
1.9654 -2.6572 6.8600 O
1.9654 -3.8801 9.3897 O
1.9654 1.4162 4.4215 O
1.9654 -5.2374 12.0730 O
1.9654 0.0000 8.3753 O
1.9654 -1.2469 10.5421 O
1.9654 2.6572 6.8600 O
1.9654 5.2369 5.5672 O
1.9654 1.2469 10.5421 O
1.9654 -1.4451 13.4243 O
1.9654 3.8801 9.3897 O
1.9654 6.5113 8.1701 O
1.9654 1.4451 13.4243 O
1.9654 0.0000 15.9397 O
1.9654 5.2374 12.0730 O
```

Crystal system: orthorhombic
Symmetry: Amm2, No. 38
Calculated volume, Å³/cell: 654.9
Raw formation energy, eV/f.u.: -124.2

No. 2
## KNb3O8 (SCAN)

Data for a crystal of KNb3O8 relaxed with PBEsol.

The structure in POSCAR format:
```
KNb3O8
1.0
1.9112 -10.7058 0.0000
1.9112 10.7058 0.0000
0.0000 0.0000 8.9783
K Nb O
2 6 16
Cartesian
1.9112 10.3477 6.7337 K
1.9112 -10.3477 2.2446 K
1.9112 5.5379 2.2446 Nb
1.9112 2.8177 5.0147 Nb
1.9112 2.8177 8.4527 Nb
1.9112 -2.8177 0.5255 Nb
1.9112 -2.8177 3.9636 Nb
1.9112 -5.5379 6.7337 Nb
1.9112 7.3480 0.8345 O
1.9112 7.3480 3.6547 O
1.9112 4.5876 6.7337 O
1.9112 4.3731 0.8296 O
1.9112 4.3731 3.6595 O
1.9112 1.8327 6.7337 O
1.9112 1.4578 0.6067 O
1.9112 1.4578 3.8824 O
1.9112 -1.4578 5.0959 O
1.9112 -1.4578 8.3715 O
1.9112 -1.8327 2.2446 O
1.9112 -4.3731 5.3188 O
1.9112 -4.3731 8.1486 O
1.9112 -4.5876 2.2446 O
1.9112 -7.3480 5.3236 O
1.9112 -7.3480 8.1438 O
```

Crystal system: orthorhombic
Symmetry: Cmcm, No. 63
Calculated volume, Å³/cell: 367.4
Raw formation energy, eV/f.u.: -32.6

No. 3
## KNb3O (SCAN)

Data for a crystal of KNb3O relaxed with PBEsol.

The structure in POSCAR format:
```
KNb3O
1.0
4.3931 0.0000 0.0000
0.0000 4.3931 0.0000
0.0000 0.0000 4.3931
K Nb O
1 3 1
Cartesian
0.0000 0.0000 0.0000 K
0.0000 2.1966 2.1966 Nb
2.1966 0.0000 2.1966 Nb
2.1966 2.1966 0.0000 Nb
2.1966 2.1966 2.1966 O
```

Crystal system: cubic
Symmetry: Pm-3m, No. 221
Calculated volume, Å³/cell: 84.8
Raw formation energy, eV/f.u.: 1.6

No. 4
## KNbPO2 (SCAN)

Data for a crystal of KNbPO2 relaxed with PBEsol.

The structure in POSCAR format:
```
KNbPO2
1.0
3.9780 0.0000 0.0000
0.0000 3.9780 0.0000
0.0000 0.0000 5.1629
K Nb P O
1 1 1 2
Cartesian
0.0000 0.0000 0.0000 K
1.9890 1.9890 2.5814 Nb
0.0000 0.0000 2.5814 P
0.0000 1.9890 0.0000 O
1.9890 0.0000 0.0000 O
```

Crystal system: tetragonal
Symmetry: P4/mmm, No. 123
Calculated volume, Å³/cell: 81.7
Raw formation energy, eV/f.u.: 6.0

No. 5
## KNb2PO8 (SCAN)

Data for a crystal of KNb2PO8 relaxed with PBEsol.

The structure in POSCAR format:
```
KNb2PO8
1.0
6.7416 3.8923 3.4793
-6.7416 3.8923 3.4793
0.0000 -7.7845 3.4793
K Nb P O
3 6 3 24
Cartesian
-4.9343 1.1715 3.4793 K
1.4526 -4.8590 3.4793 K
3.4817 3.6875 3.4793 K
-1.3687 -1.6672 4.2476 Nb
-0.7595 2.0189 4.2476 Nb
2.1282 -0.3517 4.2476 Nb
-0.8190 -1.9784 8.0403 Nb
-1.3038 1.6984 8.0403 Nb
2.1228 0.2799 8.0403 Nb
-1.5874 -5.1110 4.4592 P
-3.6326 3.9302 4.4592 P
5.2200 1.1808 4.4592 P
-3.0992 -5.0648 4.7510 O
-1.3736 -1.7707 2.2025 O
-3.2082 -2.2419 4.5030 O
-4.5480 -3.6008 6.7253 O
-0.9500 -3.7423 4.1789 O
-0.8467 2.0749 2.2025 O
-1.6561 0.1685 4.1379 O
-2.7660 2.6939 4.1789 O
2.2202 -0.3042 2.2025 O
0.6821 -1.5184 4.1379 O
-1.0104 -1.7825 6.1846 O
-2.8366 5.2164 4.7510 O
0.9740 1.3499 4.1379 O
-0.3374 3.8994 4.5030 O
-1.0385 1.7662 6.1846 O
3.5457 -1.6575 4.5030 O
-1.6456 -0.1408 8.2915 O
3.7160 1.0484 4.1789 O
2.0488 0.0162 6.1846 O
0.9447 -1.3547 8.2915 O
-0.8444 5.7391 6.7253 O
5.9358 -0.1516 4.7510 O
0.7009 1.4955 8.2915 O
5.3924 -2.1382 6.7253 O
```

Crystal system: trigonal
Symmetry: R3, No. 146
Calculated volume, Å³/cell: 547.8
Raw formation energy, eV/f.u.: -32.0

No. 6
## KNbP2O8 (SCAN)

Data for a crystal of KNbP2O8 relaxed with PBEsol.

The structure in POSCAR format:
```
KNbP2O8
1.0
5.2009 0.0000 0.0000
0.0000 11.8725 0.0000
-4.9163 0.0000 11.8270
K Nb P O
4 4 8 32
Cartesian
-1.2574 1.5985 5.2785 K
-3.7155 4.3378 11.1920 K
4.0002 7.5347 0.6351 K
1.5420 10.2740 6.5486 K
1.3044 1.4679 2.0006 Nb
-1.1538 4.4683 7.9142 Nb
1.4384 7.4042 3.9129 Nb
-1.0197 10.4046 9.8264 Nb
-3.6217 8.1721 10.0590 P
-1.1636 9.6366 4.1455 P
-3.6507 0.7456 10.2227 P
-1.1926 5.1906 4.3092 P
1.4772 6.6819 7.5178 P
3.9354 11.1269 1.6043 P
1.4482 2.2359 7.6816 P
3.9064 3.7004 1.7681 P
-3.5574 2.0488 9.2853 O
-1.0992 3.8875 3.3718 O
-0.2418 2.6247 1.4152 O
-2.6999 3.3115 7.3287 O
-3.7944 6.9031 10.8065 O
-1.3363 10.9057 4.8929 O
-2.3132 6.1177 7.7130 O
0.1449 11.6911 1.7995 O
-0.1750 6.2034 3.7654 O
-2.6332 11.6053 9.6789 O
-3.3639 1.2620 11.5976 O
-0.9057 4.6743 5.6840 O
-2.2255 8.8066 10.1988 O
0.2327 9.0022 4.2853 O
1.6389 7.6490 2.1885 O
-0.8192 10.1597 8.1020 O
1.1038 1.7127 3.7250 O
-1.3543 4.2235 9.6386 O
0.0520 2.8703 7.5418 O
2.5101 3.0659 1.6282 O
1.1904 7.1982 6.1430 O
3.6485 10.6105 0.2295 O
2.9178 0.2671 2.1482 O
0.4597 5.6691 8.0617 O
0.1397 0.1814 10.0276 O
2.5979 5.7548 4.1141 O
1.6209 0.9668 6.9341 O
4.0791 4.9694 1.0206 O
2.9845 8.5610 4.4983 O
0.5264 9.2478 10.4119 O
1.3839 7.9850 8.4553 O
3.8420 9.8237 2.5417 O
```

Crystal system: monoclinic
Symmetry: P2_1/c, No. 14
Calculated volume, Å³/cell: 730.3
Raw formation energy, eV/f.u.: -31.0

No. 7
## K4Nb8SiP4O34 (SCAN)

Data for a crystal of K4Nb8SiP4O34 relaxed with PBEsol.

The structure in POSCAR format:
```
K4Nb8SiP4O34
1.0
10.6768 0.0000 0.0000
0.0000 10.6768 0.0000
0.0000 0.0000 6.4615
K Nb Si P O
4 8 1 4 34
Cartesian
0.0000 0.0000 0.0000 K
0.0000 5.3384 1.2903 K
5.3384 0.0000 5.1712 K
5.3384 5.3384 0.0000 K
1.8968 1.8968 3.2307 Nb
1.8968 8.7800 3.2307 Nb
1.9894 5.3384 4.5272 Nb
5.3384 1.9894 1.9343 Nb
5.3384 8.6874 1.9343 Nb
8.6874 5.3384 4.5272 Nb
8.7800 1.8968 3.2307 Nb
8.7800 8.7800 3.2307 Nb
5.3384 5.3384 3.2307 Si
2.5605 2.5605 0.0000 P
2.5605 8.1164 0.0000 P
8.1164 2.5605 0.0000 P
8.1164 8.1164 0.0000 P
0.0000 1.8557 3.5013 O
0.0000 5.3384 4.8673 O
0.0000 8.8212 3.5013 O
1.6970 2.1077 1.2078 O
1.6970 8.5691 1.2078 O
1.8317 3.8764 3.3409 O
1.8317 6.8004 3.3409 O
1.8557 0.0000 2.9602 O
2.1077 1.6970 5.2537 O
2.1077 8.9798 5.2537 O
2.2886 4.0405 6.1795 O
2.2886 6.6363 6.1795 O
3.8764 1.8317 3.1206 O
3.8764 8.8452 3.1206 O
3.9941 5.3384 4.1957 O
4.0405 2.2886 0.2820 O
4.0405 8.3883 0.2820 O
5.3384 0.0000 1.5942 O
5.3384 3.9941 2.2658 O
5.3384 6.6827 2.2658 O
6.6363 2.2886 0.2820 O
6.6363 8.3883 0.2820 O
6.6827 5.3384 4.1957 O
6.8004 1.8317 3.1206 O
6.8004 8.8452 3.1206 O
8.3883 4.0405 6.1795 O
8.3883 6.6363 6.1795 O
8.5691 1.6970 5.2537 O
8.5691 8.9798 5.2537 O
8.8212 0.0000 2.9602 O
8.8452 3.8764 3.3409 O
8.8452 6.8004 3.3409 O
8.9798 2.1077 1.2078 O
8.9798 8.5691 1.2078 O
```

Crystal system: tetragonal
Symmetry: P-4m2, No. 115
Calculated volume, Å³/cell: 736.6
Raw formation energy, eV/f.u.: -137.6

No. 8
## K2NbVP2O10 (SCAN)

Data for a crystal of K2NbVP2O10 relaxed with PBEsol.

The structure in POSCAR format:
```
K2NbVP2O10
1.0
12.8795 0.0000 0.0000
0.0000 6.4975 0.0000
0.0000 0.0000 10.7892
K Nb V P O
8 4 4 8 40
Cartesian
1.3802 1.3232 0.0000 K
1.6669 5.0531 8.0274 K
4.7728 1.8044 2.6328 K
5.0595 4.5719 5.3946 K
7.8200 1.9255 0.0000 K
8.1066 4.6931 8.0274 K
11.2126 1.4444 2.6328 K
11.4992 5.1743 5.3946 K
1.6687 3.2001 4.8526 Nb
4.7710 6.4488 10.2472 Nb
8.1084 0.0487 4.8526 Nb
11.2108 3.2974 10.2472 Nb
3.1794 4.8839 2.1589 V
3.2604 1.6352 7.5535 V
9.6191 4.8623 2.1589 V
9.7001 1.6135 7.5535 V
0.0149 2.1893 7.5806 P
2.3603 6.4798 4.8818 P
4.0794 3.2310 10.2764 P
6.4248 5.4381 2.1860 P
6.4546 1.0594 7.5806 P
8.8000 3.2665 4.8818 P
10.5192 0.0177 10.2764 P
12.8646 4.3081 2.1860 P
0.0880 3.4185 3.4645 O
0.1650 3.1640 6.3770 O
1.2259 5.1997 2.0030 O
1.2625 1.2881 7.7413 O
1.4259 1.1935 4.5961 O
1.4280 5.2623 5.1748 O
2.8969 3.5725 3.5017 O
2.9166 2.9278 6.2239 O
3.1712 2.9787 9.0601 O
3.1897 3.4550 0.7242 O
3.2500 0.2062 6.1189 O
3.2685 6.2275 3.6654 O
3.5232 6.1765 0.8292 O
3.5428 0.3238 8.8964 O
5.0117 2.0135 10.5694 O
5.0139 4.4422 9.9907 O
5.1772 4.5368 2.3467 O
5.2138 1.9509 7.3976 O
6.2748 6.4127 0.9823 O
6.3517 0.1697 8.8591 O
6.5278 6.3278 3.4645 O
6.6047 0.0848 6.3770 O
7.6656 4.5466 2.0030 O
7.7023 1.9607 7.7413 O
7.8656 2.0552 4.5961 O
7.8677 4.4840 5.1748 O
9.3366 6.1737 3.5017 O
9.3563 0.3210 6.2239 O
9.6110 0.2700 9.0601 O
9.6295 6.2913 0.7242 O
9.6897 3.0425 6.1189 O
9.7082 3.5188 3.6654 O
9.9629 3.5697 0.8292 O
9.9826 2.9249 8.8964 O
11.4515 1.2352 10.5694 O
11.4536 5.3040 9.9907 O
11.6169 5.2094 2.3467 O
11.6536 1.2978 7.3976 O
12.7145 3.3335 0.9823 O
12.7914 3.0790 8.8591 O
```

Crystal system: orthorhombic
Symmetry: Pna2_1, No. 33
Calculated volume, Å³/cell: 902.9
Raw formation energy, eV/f.u.: -42.7

No. 9
## KNb5Pb2O15 (SCAN)

Data for a crystal of KNb5Pb2O15 relaxed with PBEsol.

The structure in POSCAR format:
```
KNb5Pb2O15
1.0
3.9344 0.0000 0.0000
0.0000 8.9510 9.2239
0.0000 -8.9510 9.2239
K Nb Pb O
2 10 4 30
Cartesian
0.0000 0.0000 0.0000 K
0.0000 0.0000 6.2734 K
1.9672 -3.3141 5.0320 Nb
1.9672 0.0000 3.3044 Nb
1.9672 -5.7974 10.3757 Nb
1.9672 -1.9133 9.0016 Nb
1.9672 3.3141 5.0320 Nb
1.9672 1.9133 9.0016 Nb
1.9672 0.0000 12.3539 Nb
1.9672 -1.8431 15.6858 Nb
1.9672 5.7974 10.3757 Nb
1.9672 1.8431 15.6858 Nb
0.0000 -4.5550 7.5814 Pb
0.0000 -3.1332 11.5260 Pb
0.0000 4.5550 7.5814 Pb
0.0000 3.1332 11.5260 Pb
0.0000 -3.4093 5.3888 O
0.0000 0.0000 3.3888 O
0.0000 -5.5112 10.5571 O
0.0000 -2.0212 9.2644 O
0.0000 3.4093 5.3888 O
0.0000 2.0212 9.2644 O
0.0000 0.0000 12.4936 O
0.0000 -2.0278 15.9995 O
0.0000 5.5112 10.5571 O
0.0000 2.0278 15.9995 O
1.9672 -1.3758 1.8802 O
1.9672 -5.0822 6.1549 O
1.9672 -6.3571 8.6046 O
1.9672 -1.4273 4.7398 O
1.9672 1.3758 1.8802 O
1.9672 -2.5868 7.2664 O
1.9672 -3.7696 9.9503 O
1.9672 1.4273 4.7398 O
1.9672 -5.0216 12.5073 O
1.9672 0.0000 8.5586 O
1.9672 -1.4519 11.1029 O
1.9672 2.5868 7.2664 O
1.9672 5.0822 6.1549 O
1.9672 -1.4056 13.9109 O
1.9672 1.4519 11.1029 O
1.9672 3.7696 9.9503 O
1.9672 6.3571 8.6046 O
1.9672 1.4056 13.9109 O
1.9672 0.0000 16.4055 O
1.9672 5.0216 12.5073 O
```

Crystal system: orthorhombic
Symmetry: Amm2, No. 38
Calculated volume, Å³/cell: 649.7
Energy above the lowest structure with this stoichiometry, kJ per mole of atoms: 0.00
Raw formation energy, eV/f.u.: -57.4

No. 10
## KNb5Pb2O15 (SCAN)

Data for a crystal of KNb5Pb2O15 relaxed with PBEsol.

The structure in POSCAR format:
```
KNb5Pb2O15
1.0
3.9363 0.0000 0.0000
0.0000 12.7487 0.0000
0.0000 0.0000 12.9319
K Nb Pb O
2 10 4 30
Cartesian
0.0000 1.0676 0.0000 K
0.0000 11.6811 6.4659 K
1.9682 0.4273 3.2957 Nb
1.9682 2.1817 7.0052 Nb
1.9682 3.1259 10.7749 Nb
1.9682 4.2100 1.4969 Nb
1.9682 5.9082 5.2011 Nb
1.9682 6.8405 11.6670 Nb
1.9682 8.5387 7.9628 Nb
1.9682 9.6228 4.3089 Nb
1.9682 10.5670 0.5392 Nb
1.9682 12.3214 9.7616 Nb
0.0000 3.1169 4.0756 Pb
0.0000 4.8433 7.8746 Pb
0.0000 7.9054 1.4087 Pb
0.0000 9.6318 10.5416 Pb
0.0000 0.6273 3.4433 O
0.0000 2.3637 7.1479 O
0.0000 3.1424 10.9466 O
0.0000 4.1209 1.8711 O
0.0000 5.7085 5.5528 O
0.0000 7.0402 12.0187 O
0.0000 8.6278 8.3370 O
0.0000 9.6063 4.4806 O
0.0000 10.3850 0.6819 O
0.0000 12.1214 9.9092 O
1.9682 0.4519 8.0594 O
1.9682 1.1560 10.8937 O
1.9682 1.4139 5.3040 O
1.9682 2.3400 2.7058 O
1.9682 3.1546 12.9124 O
1.9682 3.2210 8.8850 O
1.9682 4.1172 6.4356 O
1.9682 4.9002 3.6107 O
1.9682 5.1540 10.9021 O
1.9682 5.9427 0.7443 O
1.9682 6.8060 7.2102 O
1.9682 7.5947 4.4362 O
1.9682 7.8485 10.0766 O
1.9682 8.6315 12.9015 O
1.9682 9.5277 2.4191 O
1.9682 9.5941 6.4464 O
1.9682 10.4086 9.1717 O
1.9682 11.3348 11.7699 O
1.9682 11.5927 4.4277 O
1.9682 12.2968 1.5934 O
```

Crystal system: orthorhombic
Symmetry: Pmc2_1, No. 26
Calculated volume, Å³/cell: 649.0
Energy above the lowest structure with this stoichiometry, kJ per mole of atoms: 0.25
Raw formation energy, eV/f.u.: -57.3